Computed, not measured: a relaxed structure of Na3Cr3TeO8 at the PBE with a Hubbard U level of DFT.

```
15
Lattice="3.1111 1.7962 5.5183 -3.1111 1.7962 5.5183 0.0000 -3.5924 5.5183" Properties=species:S:1:pos:R:3 pbc="T T T"
Na -1.5556 -0.8981 5.5183
Na -1.5556 0.8981 11.0366
Na 0.0000 1.7962 5.5183
Cr -3.1111 0.0000 8.2774
Cr -1.5556 0.8981 2.7591
Cr 1.5556 0.8981 2.7591
Te 0.0000 0.0000 8.2774
O -1.6294 -0.9407 9.3687
O 0.0000 0.0000 3.8183
O 0.0000 -1.8815 7.1862
O -1.6294 0.9407 7.1862
O 1.6294 -0.9407 9.3687
O 0.0000 1.8815 9.3687
O 0.0000 0.0000 12.7366
O 1.6294 0.9407 7.1862
```

- Symmetry: No. 166
- DFT total energy: -93.90 eV per cell